i.
A relaxed structure of LaPmBr3, computed with PBE-GGA.

a = 7.164 Å, b = 7.309 Å, c = 7.417 Å
α = 61.58°, β = 70.62°, γ = 71.12°
Positions (direct):
La 0.022 0.112 0.223
La 0.978 0.888 0.777
Pm 0.480 0.273 0.382
Pm 0.520 0.727 0.618
Br 0.211 0.651 0.479
Br 0.253 0.470 0.035
Br 0.309 0.026 0.838
Br 0.691 0.974 0.162
Br 0.747 0.530 0.965
Br 0.789 0.349 0.521

Crystal system ... triclinic
Symmetry ... P-1, No. 2

***

ii.
A relaxed structure of LaPmBr3, computed with PBE-GGA.

a = 8.796 Å, b = 8.796 Å, c = 11.403 Å
α = 118.67°, β = 118.67°, γ = 27.37°
Positions (direct):
La 0.139 0.139 0.290
La 0.861 0.861 0.710
Pm 0.416 0.416 0.046
Pm 0.584 0.584 0.954
Br 0.047 0.047 0.746
Br 0.225 0.225 0.117
Br 0.344 0.344 0.494
Br 0.656 0.656 0.506
Br 0.775 0.775 0.883
Br 0.953 0.953 0.254

Crystal system ... monoclinic
Symmetry ... C2/m, No. 12

***

Last place for stability: i

***

i.
A relaxed structure of LaPmBr6, computed with PBE-GGA.

a = 7.528 Å, b = 7.528 Å, c = 7.276 Å
α = 97.72°, β = 97.72°, γ = 122.20°
Positions (direct):
La 0.000 0.000 0.000
Pm 0.500 0.500 0.500
Br 0.107 0.403 0.256
Br 0.254 0.254 0.749
Br 0.403 0.107 0.256
Br 0.597 0.893 0.744
Br 0.746 0.746 0.251
Br 0.893 0.597 0.744

Crystal system ... monoclinic
Symmetry ... C2/m, No. 12

***

ii.
A relaxed structure of LaPmBr6, computed with PBE-GGA.

a = 7.907 Å, b = 7.907 Å, c = 7.907 Å
α = 54.86°, β = 54.86°, γ = 54.86°
Positions (direct):
La 0.000 0.000 0.000
Pm 0.500 0.500 0.500
Br 0.095 0.412 0.746
Br 0.254 0.905 0.588
Br 0.412 0.746 0.095
Br 0.588 0.254 0.905
Br 0.746 0.095 0.412
Br 0.905 0.588 0.254

Crystal system ... trigonal
Symmetry ... R-3, No. 148

***

Last place for stability: ii

***

i.
A relaxed structure of La2PrBr, computed with PBE-GGA.

a = 3.678 Å, b = 3.678 Å, c = 9.832 Å
α = 90.00°, β = 90.00°, γ = 90.00°
Positions (direct):
La 0.000 0.000 0.235
La 0.000 0.000 0.765
Pr 0.500 0.500 0.500
Br 0.500 0.500 0.000

Crystal system ... tetragonal
Symmetry ... P4/mmm, No. 123

***

ii.
A relaxed structure of La2PrBr, computed with PBE-GGA.

a = 10.965 Å, b = 10.965 Å, c = 10.965 Å
α = 20.05°, β = 20.05°, γ = 20.05°
Positions (direct):
La 0.242 0.242 0.242
La 0.758 0.758 0.758
Pr 0.000 0.000 0.000
Br 0.500 0.500 0.500

Crystal system ... trigonal
Symmetry ... R-3m, No. 166

***

Last place for stability: i

***

i.
A relaxed structure of LaPrBr4, computed with PBE-GGA.

a = 7.050 Å, b = 4.086 Å, c = 8.012 Å
α = 90.00°, β = 106.87°, γ = 90.00°
Positions (direct):
La 0.000 0.000 0.000
Pr 0.500 0.500 0.000
Br 0.251 0.500 0.250
Br 0.254 0.000 0.752
Br 0.746 0.000 0.248
Br 0.749 0.500 0.750

Crystal system ... monoclinic
Symmetry ... P2/m, No. 10

***

ii.
A relaxed structure of LaPrBr4, computed with PBE-GGA.

a = 7.211 Å, b = 7.211 Å, c = 7.211 Å
α = 131.24°, β = 131.24°, γ = 71.43°
Positions (direct):
La 0.000 0.000 0.000
Pr 0.750 0.250 0.500
Br 0.010 0.510 0.500
Br 0.262 0.262 0.000
Br 0.490 0.990 0.500
Br 0.738 0.738 0.000

Crystal system ... tetragonal
Symmetry ... I-4m2, No. 119

***

Last place for stability: ii

***

i.
A relaxed structure of LaPrTlBr, computed with PBE-GGA.

a = 5.546 Å, b = 5.546 Å, c = 5.546 Å
α = 60.00°, β = 60.00°, γ = 60.00°
Positions (direct):
La 0.000 0.000 0.000
Pr 0.500 0.500 0.500
Tl 0.250 0.250 0.250
Br 0.750 0.750 0.750

Crystal system ... cubic
Symmetry ... F-43m, No. 216

***

ii.
A relaxed structure of LaPrTlBr, computed with PBE-GGA.

a = 7.539 Å, b = 7.539 Å, c = 7.539 Å
α = 35.51°, β = 35.51°, γ = 35.51°
Positions (direct):
La 0.000 0.000 0.000
Pr 0.500 0.500 0.500
Tl 0.751 0.751 0.751
Br 0.250 0.250 0.250

Crystal system ... trigonal
Symmetry ... R3m, No. 160

***

Last place for stability: i

***

i.
A relaxed structure of LaPt3Br, computed with PBE-GGA.

a = 4.879 Å, b = 4.879 Å, c = 4.879 Å
α = 90.00°, β = 90.00°, γ = 90.00°
Positions (direct):
La 0.000 0.000 0.000
Pt 0.000 0.500 0.500
Pt 0.500 0.000 0.500
Pt 0.500 0.500 0.000
Br 0.500 0.500 0.500

Crystal system ... cubic
Symmetry ... Pm-3m, No. 221

***

ii.
A relaxed structure of LaPt3Br, computed with PBE-GGA.

a = 5.277 Å, b = 5.277 Å, c = 5.277 Å
α = 90.00°, β = 90.00°, γ = 90.00°
Positions (direct):
La 0.000 0.000 0.000
Pt 0.000 0.000 0.500
Pt 0.000 0.500 0.000
Pt 0.500 0.000 0.000
Br 0.500 0.500 0.500

Crystal system ... cubic
Symmetry ... Pm-3m, No. 221

***

Last place for stability: ii